# LaCr2GaO8 PBE+U optimized geometry
# * total DFT energy (no corrections): -7.002 eV per atom
data_LaCr2GaO8
_symmetry_space_group_name_H-M 'P -3 m 1'
_symmetry_Int_Tables_number 164
_symmetry_space_group_name_Hall '-P 3 2"'
_cell_length_a 5.4956
_cell_length_b 5.4956
_cell_length_c 6.6621
_cell_angle_alpha 90.00
_cell_angle_beta 90.00
_cell_angle_gamma 120.00
loop_
_atom_site_label
_atom_site_type_symbol
_atom_site_fract_x
_atom_site_fract_y
_atom_site_fract_z
La1 La 0.0000 0.0000 0.0000
Cr1 Cr 0.3333 0.6667 0.2367
Ga1 Ga 0.0000 0.0000 0.5000
O1 O 0.1568 0.3135 0.3053
O2 O 0.3333 0.6667 0.9854